No. 1
Here is crystalline Ti2SiSb at its relaxed geometry from Alexandria. Energies are from GGA-PBE.

Computed properties:
formation energy from raw total energies = -407 meV per atom
symmetry = R-3m (166)
D(E_F) = 3.5 states/eV/cell
M_tot = 0.00 μB/f.u.
total energy = -6.74 eV per atom

Cell: 3.685 3.685 6.809 Å, 74.30 74.30 60.00°
Sites, in units of the cell vectors:
1 Si 0.000 0.000 0.000
2 Sb 0.500 0.500 0.500
3 Ti 0.738 0.738 0.787
4 Ti 0.262 0.262 0.213

***

No. 2
Here is crystalline PaZnGeN at its relaxed geometry from Alexandria. Energies are from GGA-PBE.

Computed properties:
formation energy from raw total energies = -953 meV per atom
symmetry = P4/nmm (129)
D(E_F) = 1.4 states/eV/cell
M_tot = 0.00 μB/f.u.
total energy = -6.88 eV per atom

Cell: 3.959 3.959 8.494 Å, 90.00 90.00 90.00°
Sites, in units of the cell vectors:
1 Pa 0.000 0.500 0.861
2 Zn 0.500 0.500 0.500
3 N 0.000 0.000 0.000
4 Zn 0.000 0.000 0.500
5 Ge 0.500 0.000 0.694
6 Pa 0.500 0.000 0.139
7 N 0.500 0.500 0.000
8 Ge 0.000 0.500 0.306

***

No. 3
Here is crystalline Tl2Co2Au at its relaxed geometry from Alexandria. Energies are from GGA-PBE.

Computed properties:
formation energy = 1.001 eV per atom
symmetry = P4/mmm (123)
D(E_F) = 7.0 states/eV/cell
M_tot = 4.17 μB/f.u.
total energy = -3.44 eV per atom

Cell: 4.926 4.926 5.284 Å, 90.00 90.00 90.00°
Sites, in units of the cell vectors:
1 Tl 0.500 0.500 0.500
2 Au 0.000 0.000 0.000
3 Tl 0.000 0.000 0.500
4 Co 0.500 0.000 0.000
5 Co 0.000 0.500 0.000